# 1
LiZr2P3O12 | PBE | optimized geometry

a = 8.993 Å, b = 8.993 Å, c = 9.134 Å
α = 119.95°, β = 119.95°, γ = 60.78°
Fractional coordinates of all 36 atoms:
Li 0.074 0.926 0.500
Li 0.926 0.074 0.000
Zr 0.113 0.600 0.022
Zr 0.393 0.878 0.866
Zr 0.600 0.113 0.522
Zr 0.878 0.393 0.366
P 0.207 0.274 0.187
P 0.274 0.207 0.687
P 0.499 0.705 0.184
P 0.705 0.499 0.684
P 0.794 0.993 0.202
P 0.993 0.794 0.702
O 0.034 0.284 0.196
O 0.047 0.783 0.887
O 0.108 0.242 0.522
O 0.145 0.814 0.685
O 0.173 0.449 0.167
O 0.242 0.108 0.022
O 0.251 0.372 0.858
O 0.284 0.034 0.696
O 0.340 0.684 0.187
O 0.372 0.251 0.358
O 0.447 0.725 0.005
O 0.449 0.173 0.667
O 0.534 0.665 0.700
O 0.546 0.873 0.342
O 0.626 0.947 0.045
O 0.665 0.534 0.200
O 0.684 0.340 0.687
O 0.725 0.447 0.505
O 0.783 0.047 0.387
O 0.814 0.145 0.185
O 0.830 0.972 0.698
O 0.873 0.546 0.842
O 0.947 0.626 0.545
O 0.972 0.830 0.198

Output
Density of states at the Fermi level, states/eV per atom: 0.000
SG: No. 9
Uncorrected formation energy, eV/atom: -2.70

=====

# 2
Ta2Fe | PBE | optimized geometry

a = 5.377 Å, b = 5.375 Å, c = 3.109 Å
α = 73.22°, β = 73.16°, γ = 33.62°
Fractional coordinates of all 3 atoms:
Ta 0.155 0.155 0.845
Ta 0.845 0.845 0.155
Fe 0.500 0.500 0.500

Output
Density of states at the Fermi level, states/eV per atom: 0.562
SG: No. 69
Formation enthalpy at 0 K, eV per atom: -0.10

=====

# 3
K2AlOs | PBE | optimized geometry

a = 12.139 Å, b = 12.139 Å, c = 12.139 Å
α = 161.50°, β = 161.50°, γ = 26.29°
Fractional coordinates of all 8 atoms:
K 0.124 0.625 0.999
K 0.375 0.374 0.499
K 0.626 0.125 0.001
K 0.875 0.876 0.501
Al 0.250 0.750 0.500
Al 0.500 0.500 0.000
Os 0.000 0.000 0.000
Os 0.750 0.250 0.500

Output
Density of states at the Fermi level, states/eV per atom: 0.346
SG: No. 122
Formation enthalpy at 0 K, eV per atom: 1.12

=====

# 4
BaNaFeN2 | PBE | optimized geometry

a = 6.583 Å, b = 6.583 Å, c = 5.070 Å
α = 90.00°, β = 90.00°, γ = 128.83°
Fractional coordinates of all 10 atoms:
Ba 0.250 0.750 0.757
Ba 0.750 0.250 0.243
Na 0.250 0.250 0.500
Na 0.750 0.750 0.500
Fe 0.000 0.000 0.000
Fe 0.500 0.500 0.000
N 0.110 0.890 0.215
N 0.390 0.610 0.215
N 0.610 0.390 0.785
N 0.890 0.110 0.785

Output
Density of states at the Fermi level, states/eV per atom: 0.108
SG: No. 67
Uncorrected formation energy, eV/atom: 0.07

=====

# 5
ZnP2Ru | PBE | optimized geometry

a = 3.955 Å, b = 3.955 Å, c = 5.510 Å
α = 95.21°, β = 95.21°, γ = 45.02°
Fractional coordinates of all 4 atoms:
Zn 0.000 0.000 0.000
P 0.220 0.220 0.714
P 0.780 0.780 0.286
Ru 0.500 0.500 0.500

Output
Density of states at the Fermi level, states/eV per atom: 0.382
SG: No. 12
Formation enthalpy at 0 K, eV per atom: -0.01

=====

# 6
HfZr5Sb6 | PBE | optimized geometry

a = 7.169 Å, b = 7.169 Å, c = 7.176 Å
α = 99.59°, β = 99.59°, γ = 120.28°
Fractional coordinates of all 12 atoms:
Hf 0.000 0.000 0.000
Zr 0.173 0.827 0.500
Zr 0.334 0.666 0.000
Zr 0.500 0.500 0.500
Zr 0.666 0.334 0.000
Zr 0.827 0.173 0.500
Sb 0.082 0.411 0.247
Sb 0.245 0.245 0.748
Sb 0.411 0.082 0.247
Sb 0.589 0.918 0.753
Sb 0.755 0.755 0.252
Sb 0.918 0.589 0.753

Output
Density of states at the Fermi level, states/eV per atom: 0.610
SG: No. 12
Uncorrected formation energy, eV/atom: -0.51

=====

# 7
La2AgSn | PBE | optimized geometry

a = 6.529 Å, b = 4.732 Å, c = 8.512 Å
α = 90.00°, β = 110.40°, γ = 90.00°
Fractional coordinates of all 8 atoms:
La 0.211 0.250 0.413
La 0.212 0.250 0.938
La 0.788 0.750 0.062
La 0.789 0.750 0.587
Ag 0.362 0.750 0.214
Ag 0.638 0.250 0.786
Sn 0.331 0.750 0.706
Sn 0.669 0.250 0.294

Output
Density of states at the Fermi level, states/eV per atom: 0.915
SG: No. 11
Formation enthalpy at 0 K, eV per atom: -0.53

=====

# 8
Ca2NiIr | PBE | optimized geometry

a = 4.757 Å, b = 4.757 Å, c = 4.757 Å
α = 60.00°, β = 60.00°, γ = 60.00°
Fractional coordinates of all 4 atoms:
Ca 0.000 0.000 0.000
Ca 0.250 0.250 0.250
Ni 0.500 0.500 0.500
Ir 0.750 0.750 0.750

Output
Density of states at the Fermi level, states/eV per atom: 1.372
SG: No. 216
Formation enthalpy at 0 K, eV per atom: 0.11

=====

# 9
PmU2P4 | PBE | optimized geometry

a = 6.861 Å, b = 6.861 Å, c = 12.468 Å
α = 90.00°, β = 90.00°, γ = 146.20°
Fractional coordinates of all 14 atoms:
Pm 0.112 0.888 0.750
Pm 0.888 0.112 0.250
U 0.368 0.632 0.562
U 0.368 0.632 0.938
U 0.632 0.368 0.062
U 0.632 0.368 0.438
P 0.000 0.000 0.000
P 0.000 0.000 0.500
P 0.262 0.738 0.124
P 0.262 0.738 0.376
P 0.457 0.543 0.750
P 0.543 0.457 0.250
P 0.738 0.262 0.624
P 0.738 0.262 0.876

Output
Density of states at the Fermi level, states/eV per atom: 1.479
SG: No. 63
Formation enthalpy at 0 K, eV per atom: -0.84

=====

# 10
AgHg3Cl | PBE | optimized geometry

a = 7.353 Å, b = 7.353 Å, c = 5.710 Å
α = 90.00°, β = 90.00°, γ = 120.00°
Fractional coordinates of all 10 atoms:
Ag 0.000 0.000 0.000
Ag 0.000 0.000 0.500
Hg 0.196 0.391 0.250
Hg 0.196 0.804 0.250
Hg 0.391 0.196 0.750
Hg 0.609 0.804 0.250
Hg 0.804 0.196 0.750
Hg 0.804 0.609 0.750
Cl 0.333 0.667 0.750
Cl 0.667 0.333 0.250

Output
Density of states at the Fermi level, states/eV per atom: 0.220
SG: No. 194
Uncorrected formation energy, eV/atom: -0.14

=====

# 11
Sr3Sn2Pd2 | PBE | optimized geometry

a = 6.169 Å, b = 8.963 Å, c = 14.421 Å
α = 90.00°, β = 90.00°, γ = 90.00°
Fractional coordinates of all 28 atoms:
Sr 0.147 0.106 0.100
Sr 0.147 0.106 0.400
Sr 0.147 0.394 0.600
Sr 0.147 0.394 0.900
Sr 0.349 0.749 0.750
Sr 0.349 0.751 0.250
Sr 0.651 0.249 0.750
Sr 0.651 0.251 0.250
Sr 0.853 0.606 0.100
Sr 0.853 0.606 0.400
Sr 0.853 0.894 0.600
Sr 0.853 0.894 0.900
Sn 0.163 0.098 0.750
Sn 0.163 0.402 0.250
Sn 0.366 0.750 0.000
Sn 0.366 0.750 0.500
Sn 0.634 0.250 0.000
Sn 0.634 0.250 0.500
Sn 0.837 0.598 0.750
Sn 0.837 0.902 0.250
Pd 0.382 0.031 0.587
Pd 0.382 0.031 0.913
Pd 0.382 0.469 0.087
Pd 0.382 0.469 0.413
Pd 0.618 0.531 0.587
Pd 0.618 0.531 0.913
Pd 0.618 0.969 0.087
Pd 0.618 0.969 0.413

Output
Density of states at the Fermi level, states/eV per atom: 0.503
SG: No. 57
Formation enthalpy at 0 K, eV per atom: -0.75

=====

# 12
Pm6BiSe4 | PBE | optimized geometry

a = 7.164 Å, b = 7.164 Å, c = 21.483 Å
α = 90.00°, β = 90.00°, γ = 145.64°
Fractional coordinates of all 22 atoms:
Pm 0.000 0.000 0.000
Pm 0.000 0.000 0.500
Pm 0.154 0.846 0.750
Pm 0.273 0.727 0.091
Pm 0.273 0.727 0.409
Pm 0.450 0.550 0.661
Pm 0.450 0.550 0.839
Pm 0.550 0.450 0.161
Pm 0.550 0.450 0.339
Pm 0.727 0.273 0.591
Pm 0.727 0.273 0.909
Pm 0.846 0.154 0.250
Bi 0.170 0.830 0.250
Bi 0.830 0.170 0.750
Se 0.087 0.913 0.623
Se 0.087 0.913 0.877
Se 0.358 0.642 0.537
Se 0.358 0.642 0.963
Se 0.642 0.358 0.037
Se 0.642 0.358 0.463
Se 0.913 0.087 0.123
Se 0.913 0.087 0.377

Output
Density of states at the Fermi level, states/eV per atom: 0.922
SG: No. 63
Uncorrected formation energy, eV/atom: -1.50